No. 1
A plane-wave DFT calculation with PBE was carried out for an optimized crystal structure of PtSeO3.

abc: 3.8916 3.8916 3.8916
angles: 90.00 90.00 90.00
Space group Pm-3m (No. 221)
Symmetry-distinct sites (fractional):
Pt 0.0000 0.0000 0.0000
Se 0.5000 0.5000 0.5000
O 0.0000 0.5000 0.5000

Summary:
Density of states at the Fermi level in states/eV/cell: 3.23
Magnetization in μB per atom: 0.3499
Formation energy (no corrections) in meV/atom: 518

No. 2
A plane-wave DFT calculation with PBE was carried out for an optimized crystal structure of PrNd3Se4.

abc: 8.5650 11.9983 4.1952
angles: 90.00 90.00 90.00
Space group Cmmm (No. 65)
Symmetry-distinct sites (fractional):
Pr 0.0000 0.0000 0.0000
Nd 0.0000 0.5000 0.0000
Nd 0.2500 0.2500 0.5000
Se 0.0000 0.2510 0.0000
Se 0.2480 0.5000 0.5000

Summary:
Density of states at the Fermi level in states/eV/cell: 10.28
Magnetization in μB per atom: 0.0000
Energy above the most stable polymorph in this dataset in meV per atom: 4.2
Formation energy (no corrections) in meV/atom: -1838

No. 3
A plane-wave DFT calculation with PBE was carried out for an optimized crystal structure of Cs2KYBr6.

abc: 11.9320 11.9320 11.9320
angles: 90.00 90.00 90.00
Space group Fm-3m (No. 225)
Symmetry-distinct sites (fractional):
Cs 0.2500 0.2500 0.2500
K 0.0000 0.0000 0.0000
Y 0.0000 0.0000 0.5000
Br 0.0000 0.0000 0.2654

Summary:
Density of states at the Fermi level in states/eV/cell: 0.00
Magnetization in μB per atom: 0.0000
Formation energy (no corrections) in meV/atom: -1858

No. 4
A plane-wave DFT calculation with PBE was carried out for an optimized crystal structure of Ce3HgPt2.

abc: 7.5256 7.5256 19.9281
angles: 90.00 90.00 120.00
Space group R-3c (No. 167, hexagonal axes)
Symmetry-distinct sites (fractional):
Ce 0.0000 0.2871 0.2500
Hg 0.0000 0.0000 0.0000
Pt 0.0000 0.0000 0.1492

Summary:
Density of states at the Fermi level in states/eV/cell: 113.93
Magnetization in μB per atom: 0.4332
Formation energy from the elements in meV per atom: -701

No. 5
A plane-wave DFT calculation with PBE was carried out for an optimized crystal structure of AlSnI2O.

abc: 6.2230 6.2230 4.0755
angles: 90.00 90.00 90.00
Space group P4/mmm (No. 123)
Symmetry-distinct sites (fractional):
Al 0.0000 0.0000 0.0000
Sn 0.5000 0.5000 0.5000
I 0.0000 0.5000 0.5000
O 0.5000 0.5000 0.0000

Summary:
Density of states at the Fermi level in states/eV/cell: 1.03
Magnetization in μB per atom: 0.0000
Energy above the most stable polymorph in this dataset in meV per atom: 489.3
Formation energy (no corrections) in meV/atom: -277

No. 6
A plane-wave DFT calculation with PBE was carried out for an optimized crystal structure of KZr5Te8.

abc: 21.2286 3.9736 10.2213
angles: 90.00 104.57 90.00
Space group C2/m (No. 12)
Symmetry-distinct sites (fractional):
K 0.0000 0.0000 0.0000
Zr 0.0000 0.5000 0.5000
Zr 0.1478 0.0000 0.5000
Zr 0.2096 0.0000 0.8505
Te 0.0715 0.0000 0.6908
Te 0.0840 0.5000 0.3067
Te 0.1568 0.5000 0.0043
Te 0.2434 0.5000 0.6587

Summary:
Density of states at the Fermi level in states/eV/cell: 17.03
Magnetization in μB per atom: 0.0000
Formation energy (no corrections) in meV/atom: -946

No. 7
A plane-wave DFT calculation with PBE was carried out for an optimized crystal structure of La8HC3Cl3.

abc: 13.4114 7.7225 8.4124
angles: 90.00 122.20 90.00
Space group C2/m (No. 12)
Symmetry-distinct sites (fractional):
La 0.0206 0.2327 0.2949
La 0.2339 0.0000 0.7012
La 0.2461 0.5000 0.7047
H 0.0000 0.5000 0.5000
C 0.0000 0.0000 0.5000
C 0.2500 0.2500 0.5000
Cl 0.0000 0.5000 0.0000
Cl 0.2500 0.2500 0.0000

Summary:
Density of states at the Fermi level in states/eV/cell: 20.15
Magnetization in μB per atom: 0.0000
DFT total energy in eV/cell: -176.86

No. 8
A plane-wave DFT calculation with PBE was carried out for an optimized crystal structure of RbBe2InCl6.

abc: 12.5366 12.6316 8.9371
angles: 90.00 111.86 90.00
Space group C2/c (No. 15)
Symmetry-distinct sites (fractional):
Rb 0.0000 0.1419 0.2500
Be 0.2369 0.1108 0.6877
In 0.0000 0.4078 0.7500
Cl 0.1089 0.3848 0.1499
Cl 0.1497 0.2395 0.6265
Cl 0.1777 0.0190 0.0759

Summary:
Density of states at the Fermi level in states/eV/cell: 0.00
Magnetization in μB per atom: 0.0000
Formation energy (no corrections) in meV/atom: -1411

No. 9
A plane-wave DFT calculation with PBE was carried out for an optimized crystal structure of Ca2La2Ir.

abc: 4.0565 4.0565 19.7956
angles: 90.00 90.00 90.00
Space group I4/mmm (No. 139)
Symmetry-distinct sites (fractional):
Ca 0.0000 0.5000 0.2500
La 0.0000 0.0000 0.0773
Ir 0.0000 0.0000 0.5000

Summary:
Density of states at the Fermi level in states/eV/cell: 10.85
Magnetization in μB per atom: 0.0000
Energy above the most stable polymorph in this dataset in meV per atom: 654.0
Formation energy from the elements in meV per atom: 311

No. 10
A plane-wave DFT calculation with PBE was carried out for an optimized crystal structure of DyScTl.

abc: 5.0584 5.0584 3.6538
angles: 90.00 90.00 120.00
Space group P3m1 (No. 156)
Symmetry-distinct sites (fractional):
Dy 0.0000 0.0000 0.0000
Sc 0.6667 0.3333 0.5005
Tl 0.3333 0.6667 0.4987

Summary:
Density of states at the Fermi level in states/eV/cell: 2.79
Magnetization in μB per atom: 0.1390
Energy above the most stable polymorph in this dataset in meV per atom: 96.9
Formation energy from the elements in meV per atom: -173

Q: Look up the density of states at the Fermi level of the ninth one.
A: 10.85 states/eV/cell